! La2NdNiPt2Pb3 GGA-PBE relaxed; values from VASP
! Raw total energy (eV per cell): -50.36
! Total magnetic moment (μB/atom): 0.0001
&SYSTEM
  ibrav = 0, nat = 9, ntyp = 5
/
ATOMIC_SPECIES
La 138.91 La.upf
Nd 144.24 Nd.upf
Ni 58.69 Ni.upf
Pb 207.20 Pb.upf
Pt 195.08 Pt.upf
CELL_PARAMETERS angstrom
-0.202 0.644 -4.028
-5.085 -6.007 -0.705
-2.676 7.319 1.304
ATOMIC_POSITIONS crystal
La 0.000 0.000 0.589
La 0.000 0.589 0.000
Nd 0.000 0.408 0.408
Ni 0.000 0.002 0.002
Pb 0.500 0.245 0.002
Pb 0.500 0.002 0.245
Pb 0.500 0.754 0.754
Pt 0.500 0.667 0.334
Pt 0.500 0.334 0.667

---

! NaScHgSe3 GGA-PBE relaxed; values from VASP
! Offset from the most stable computed form (meV per atom): 25
! Total magnetic moment (μB/atom): 0.0008
&SYSTEM
  ibrav = 0, nat = 12, ntyp = 4
/
ATOMIC_SPECIES
Hg 200.59 Hg.upf
Na 22.99 Na.upf
Sc 44.96 Sc.upf
Se 78.96 Se.upf
CELL_PARAMETERS angstrom
4.049 5.939 0.431
-5.036 -4.166 3.023
7.709 -5.625 5.091
ATOMIC_POSITIONS crystal
Hg 0.547 0.453 0.250
Hg 0.453 0.547 0.750
Na 0.247 0.753 0.250
Na 0.753 0.247 0.750
Sc 0.000 0.000 0.000
Sc 0.000 0.000 0.500
Se 0.635 0.365 0.038
Se 0.915 0.085 0.250
Se 0.635 0.365 0.462
Se 0.365 0.635 0.538
Se 0.085 0.915 0.750
Se 0.365 0.635 0.962

---

! BeCuSn2 GGA-PBE relaxed; values from VASP
! Raw total energy (eV per cell): -13.02
&SYSTEM
  ibrav = 0, nat = 4, ntyp = 3
/
ATOMIC_SPECIES
Be 9.01 Be.upf
Cu 63.55 Cu.upf
Sn 118.71 Sn.upf
CELL_PARAMETERS angstrom
-3.187 -3.575 0.161
-4.682 0.944 -0.394
-2.375 -1.273 -3.962
ATOMIC_POSITIONS crystal
Be 0.500 0.500 0.500
Cu 0.250 0.250 0.250
Sn 0.000 0.000 0.000
Sn 0.750 0.750 0.750

---

! RbCdGe GGA-PBE relaxed; values from VASP
! Offset from the most stable computed form (meV per atom): 0
&SYSTEM
  ibrav = 0, nat = 3, ntyp = 3
/
ATOMIC_SPECIES
Cd 112.41 Cd.upf
Ge 72.64 Ge.upf
Rb 85.47 Rb.upf
CELL_PARAMETERS angstrom
0.000 3.742 3.742
3.742 0.000 3.742
3.742 3.742 0.000
ATOMIC_POSITIONS crystal
Cd 0.250 0.250 0.250
Ge 0.000 0.000 0.000
Rb 0.750 0.750 0.750

---

! KGdBe GGA-PBE relaxed; values from VASP
! Raw total energy (eV per cell): -5.09
! Total magnetic moment (μB/atom): 0.0161
&SYSTEM
  ibrav = 0, nat = 3, ntyp = 3
/
ATOMIC_SPECIES
Be 9.01 Be.upf
Gd 157.25 Gd.upf
K 39.10 K.upf
CELL_PARAMETERS angstrom
0.000 3.495 3.495
3.495 0.000 3.495
3.495 3.495 0.000
ATOMIC_POSITIONS crystal
Be 0.500 0.500 0.500
Gd 0.000 0.000 0.000
K 0.250 0.250 0.250

---

! CuGeIrPb GGA-PBE relaxed; values from VASP
! Offset from the most stable computed form (meV per atom): 101
! Total magnetic moment (μB/atom): 0.0013
&SYSTEM
  ibrav = 0, nat = 4, ntyp = 4
/
ATOMIC_SPECIES
Cu 63.55 Cu.upf
Ge 72.64 Ge.upf
Ir 192.22 Ir.upf
Pb 207.20 Pb.upf
CELL_PARAMETERS angstrom
0.000 3.293 3.293
3.293 0.000 3.293
3.293 3.293 0.000
ATOMIC_POSITIONS crystal
Cu 0.750 0.750 0.750
Ge 0.250 0.250 0.250
Ir 0.000 0.000 0.000
Pb 0.500 0.500 0.500

---

! TbAgAsO GGA-PBE relaxed; values from VASP
! Offset from the most stable computed form (meV per atom): 0
! Total magnetic moment (μB/atom): 0.0010
&SYSTEM
  ibrav = 0, nat = 8, ntyp = 4
/
ATOMIC_SPECIES
Ag 107.87 Ag.upf
As 74.92 As.upf
O 16.00 O.upf
Tb 158.93 Tb.upf
CELL_PARAMETERS angstrom
3.979 0.000 0.000
0.000 3.979 0.000
0.000 0.000 9.256
ATOMIC_POSITIONS crystal
Ag 0.000 0.000 0.500
Ag 0.500 0.500 0.500
As 0.500 0.000 0.303
As 0.000 0.500 0.697
O 0.000 0.000 0.000
O 0.500 0.500 0.000
Tb 0.000 0.500 0.118
Tb 0.500 0.000 0.882

---

! SmHoAl GGA-PBE relaxed; values from VASP
! Offset from the most stable computed form (meV per atom): 0
! Total magnetic moment (μB/atom): 0.2878
&SYSTEM
  ibrav = 0, nat = 3, ntyp = 3
/
ATOMIC_SPECIES
Al 26.98 Al.upf
Ho 164.93 Ho.upf
Sm 150.36 Sm.upf
CELL_PARAMETERS angstrom
0.722 -4.769 -1.570
-3.788 -3.362 0.275
-2.247 -1.642 -4.240
ATOMIC_POSITIONS crystal
Al 0.000 0.000 0.000
Ho 0.250 0.250 0.250
Sm 0.500 0.500 0.500

---

Taking the records one at a time from the top gives ρ values of 11230; 5601; 6615; 4286; 3992; 12457; 8107; 6160 kg/m³.